Er3LuSc2Te2Os, relaxed, DFT PBE; total energy = -55.127 eV for the cell shown
1.0
3.997 0.000 0.000
0.000 6.933 3.988
0.000 -6.933 3.988
Er Lu Sc Te Os
3 1 2 2 1
direct
0.000 0.000 0.000
0.000 0.227 0.618
0.000 0.618 0.227
0.500 0.384 0.384
0.500 0.613 0.850
0.500 0.850 0.613
0.500 0.283 0.946
0.500 0.946 0.283
0.000 0.634 0.634